{
  "formula": "BaTlW3",
  "functional": "PBE",
  "state": "relaxed",
  "energy_ev_per_atom": -4.9107,
  "dos_ef_per_ev_cell": 9.88,
  "de_polymorph_kj_per_mol_atoms": 87.6,
  "delta_e_f_ev_per_atom": 3.7190,
  "lattice_angstrom": [[5.084, 0.000, 0.000], [0.000, 5.084, 0.000], [0.000, 0.000, 5.084]],
  "species": ["Ba", "Tl", "W", "W", "W"],
  "frac_coords": [[0.000, 0.000, 0.000], [0.500, 0.500, 0.500], [0.000, 0.000, 0.500], [0.000, 0.500, 0.000], [0.500, 0.000, 0.000]]
}